Below is CaAg2Sb2 after structural relaxation, with properties calculated at the PBE level. Values from VASP.

Output
E_form (uncorrected)	-1.6	eV per formula unit
SG	No. 139
total moment	0.000	μB per atom
DOS(E_F)	2.2	states/eV per cell
DFT total energy	-3.5014	eV per atom

Geometry as Quantum ESPRESSO input:
```
&SYSTEM
  ibrav = 0, nat = 5, ntyp = 3
/
ATOMIC_SPECIES
Ca 40.08 Ca.upf
Ag 107.87 Ag.upf
Sb 121.76 Sb.upf
CELL_PARAMETERS angstrom
-2.2178 2.2178 6.5496
2.2178 -2.2178 6.5496
2.2178 2.2178 -6.5496
ATOMIC_POSITIONS angstrom
Ca 0.0000 0.0000 0.0000
Ag 2.2178 0.0000 3.2748
Ag 0.0000 2.2178 3.2748
Sb 0.0000 0.0000 5.0715
Sb 0.0000 0.0000 8.0277
```

Below is Pm2AlP3Rh4 after structural relaxation, with properties calculated at the PBE level. Values from VASP.

Output
SG	No. 115
energy of formation	-1.08	eV per atom
total moment	0.000	μB per atom
DOS(E_F)	5.8	states/eV per cell
DFT total energy	-6.9658	eV per atom

Geometry as Quantum ESPRESSO input:
```
&SYSTEM
  ibrav = 0, nat = 10, ntyp = 4
/
ATOMIC_SPECIES
Pm 145.00 Pm.upf
Al 26.98 Al.upf
P 30.97 P.upf
Rh 102.91 Rh.upf
CELL_PARAMETERS angstrom
4.0921 0.0000 0.0000
0.0000 4.0921 0.0000
0.0000 0.0000 10.0246
ATOMIC_POSITIONS angstrom
Pm 0.0000 2.0461 2.4982
Pm 2.0461 0.0000 7.5264
Al 0.0000 0.0000 5.0123
P 0.0000 2.0461 8.6671
P 2.0461 0.0000 1.3575
P 2.0461 2.0461 5.0123
Rh 0.0000 0.0000 0.0000
Rh 0.0000 2.0461 6.3341
Rh 2.0461 0.0000 3.6905
Rh 2.0461 2.0461 0.0000
```

Below is ZnBi3B after structural relaxation, with properties calculated at the PBE level. Values from VASP.

Output
SG	No. 221
energy of formation	0.81	eV per atom
total moment	0.000	μB per atom
polymorph energy (0 for the lowest one)	0	meV per atom
DOS(E_F)	3.3	states/eV per cell
DFT total energy	-3.1092	eV per atom

Geometry as Quantum ESPRESSO input:
```
&SYSTEM
  ibrav = 0, nat = 5, ntyp = 3
/
ATOMIC_SPECIES
Zn 65.41 Zn.upf
Bi 208.98 Bi.upf
B 10.81 B.upf
CELL_PARAMETERS angstrom
5.0926 0.0000 0.0000
0.0000 5.0926 0.0000
0.0000 0.0000 5.0926
ATOMIC_POSITIONS angstrom
Zn 0.0000 0.0000 0.0000
Bi 0.0000 2.5463 2.5463
Bi 2.5463 0.0000 2.5463
Bi 2.5463 2.5463 0.0000
B 2.5463 2.5463 2.5463
```

Below is LaSbH2Rh after structural relaxation, with properties calculated at the PBE level. Values from VASP.

Output
SG	No. 63
total moment	0.000	μB per atom
DOS(E_F)	5.4	states/eV per cell
DFT total energy	-5.3034	eV per atom

Geometry as Quantum ESPRESSO input:
```
&SYSTEM
  ibrav = 0, nat = 10, ntyp = 4
/
ATOMIC_SPECIES
La 138.91 La.upf
Sb 121.76 Sb.upf
H 1.01 H.upf
Rh 102.91 Rh.upf
CELL_PARAMETERS angstrom
2.0938 -5.5852 0.0000
2.0938 5.5852 0.0000
0.0000 0.0000 6.5912
ATOMIC_POSITIONS angstrom
La 2.0938 3.2265 4.9434
La 2.0938 -3.2265 1.6478
Sb 2.0938 4.8139 1.6478
Sb 2.0938 -4.8139 4.9434
H 2.0938 1.7062 0.3625
H 2.0938 1.7062 2.9331
H 2.0938 -1.7062 3.6581
H 2.0938 -1.7062 6.2288
Rh 2.0938 0.0000 0.0000
Rh 2.0938 0.0000 3.2956
```

Below is CsReI2O after structural relaxation, with properties calculated at the PBE level. Values from VASP.

Output
E_form (uncorrected)	6.8	eV per formula unit
SG	No. 123
total moment	1.115	μB per atom
polymorph energy (0 for the lowest one)	1868	meV per atom
DOS(E_F)	9.6	states/eV per cell
DFT total energy	-2.9079	eV per atom

Geometry as Quantum ESPRESSO input:
```
&SYSTEM
  ibrav = 0, nat = 5, ntyp = 4
/
ATOMIC_SPECIES
Cs 132.91 Cs.upf
Re 186.21 Re.upf
I 126.90 I.upf
O 16.00 O.upf
CELL_PARAMETERS angstrom
6.9783 0.0000 0.0000
0.0000 6.9783 0.0000
0.0000 0.0000 4.3963
ATOMIC_POSITIONS angstrom
Cs 0.0000 0.0000 0.0000
Re 3.4892 3.4892 2.1981
I 0.0000 3.4892 0.0000
I 3.4892 0.0000 0.0000
O 0.0000 0.0000 2.1981
```

Below is CeSm2PaRu2 after structural relaxation, with properties calculated at the PBE level. Values from VASP.

Output
SG	No. 72
energy of formation	-0.25	eV per atom
total moment	0.000	μB per atom
DOS(E_F)	17.6	states/eV per cell
DFT total energy	-7.4880	eV per atom

Geometry as Quantum ESPRESSO input:
```
&SYSTEM
  ibrav = 0, nat = 12, ntyp = 4
/
ATOMIC_SPECIES
Ce 140.12 Ce.upf
Sm 150.36 Sm.upf
Pa 231.04 Pa.upf
Ru 101.07 Ru.upf
CELL_PARAMETERS angstrom
-3.5414 6.4314 3.4991
3.5414 -6.4314 3.4991
3.5414 6.4314 -3.4991
ATOMIC_POSITIONS angstrom
Ce 0.0000 0.0000 1.7495
Ce 0.0000 0.0000 5.2486
Sm 5.1683 2.4867 0.0000
Sm 1.6269 3.9447 0.0000
Sm 1.9145 2.4867 3.4991
Sm -1.6269 3.9447 3.4991
Pa 3.5414 0.0000 1.7495
Pa 0.0000 6.4314 1.7495
Ru 1.8984 1.0515 0.0000
Ru 1.8984 -1.0515 3.4991
Ru 1.6430 7.4829 0.0000
Ru 1.6430 5.3799 3.4991
```

Below is SrRu2F8 after structural relaxation, with properties calculated at the PBE level. Values from VASP.

Output
E_form (uncorrected)	-21.7	eV per formula unit
SG	No. 2
total moment	0.728	μB per atom
DOS(E_F)	5.4	states/eV per cell
DFT total energy	-5.1692	eV per atom

Geometry as Quantum ESPRESSO input:
```
&SYSTEM
  ibrav = 0, nat = 11, ntyp = 3
/
ATOMIC_SPECIES
Sr 87.62 Sr.upf
Ru 101.07 Ru.upf
F 19.00 F.upf
CELL_PARAMETERS angstrom
4.1412 0.0000 0.0000
0.0045 7.2843 0.0000
0.0040 3.6363 6.3134
ATOMIC_POSITIONS angstrom
Sr 0.0000 0.0000 0.0000
Ru 1.1209 3.6408 2.1054
Ru 3.0287 7.2798 4.2080
F 0.9595 7.2800 4.2077
F 1.1079 3.6283 4.1372
F 1.1073 1.8864 1.0795
F 1.1080 5.4041 1.0958
F 3.0417 5.5166 5.2176
F 3.0424 9.0342 5.2339
F 3.0418 7.2924 2.1762
F 3.1902 3.6406 2.1057
```

Below is LaSm12Dy6 after structural relaxation, with properties calculated at the PBE level. Values from VASP.

Output
SG	No. 148
energy of formation	0.14	eV per atom
total moment	0.000	μB per atom
polymorph energy (0 for the lowest one)	0	meV per atom
DOS(E_F)	32.0	states/eV per cell
DFT total energy	-4.5532	eV per atom

Geometry as Quantum ESPRESSO input:
```
&SYSTEM
  ibrav = 0, nat = 19, ntyp = 3
/
ATOMIC_SPECIES
La 138.91 La.upf
Sm 150.36 Sm.upf
Dy 162.50 Dy.upf
CELL_PARAMETERS angstrom
6.0485 3.4921 5.0900
-6.0485 3.4921 5.0900
0.0000 -6.9842 5.0900
ATOMIC_POSITIONS angstrom
La 0.0000 0.0000 0.0000
Sm -1.1260 -1.7628 2.9300
Sm -0.9636 1.8565 2.9300
Sm -1.4418 -1.5742 6.3605
Sm 2.0896 -0.0937 2.9300
Sm -2.0842 0.4615 8.9096
Sm -0.6424 2.0357 6.3605
Sm 0.6424 -2.0357 8.9096
Sm 2.0842 -0.4615 6.3605
Sm -2.0896 0.0937 12.3400
Sm 1.4418 1.5742 8.9096
Sm 0.9636 -1.8565 12.3400
Sm 1.1260 1.7628 12.3400
Dy -3.6177 0.9560 5.3534
Dy 0.9809 -3.6110 5.3534
Dy -2.6368 -2.6550 9.9166
Dy 2.6368 2.6550 5.3534
Dy -0.9809 3.6110 9.9166
Dy 3.6177 -0.9560 9.9166
```

Below is InRe2Au after structural relaxation, with properties calculated at the PBE level. Values from VASP.

Output
SG	No. 166
energy of formation	0.65	eV per atom
total moment	0.000	μB per atom
DOS(E_F)	3.2	states/eV per cell
DFT total energy	-7.0804	eV per atom

Geometry as Quantum ESPRESSO input:
```
&SYSTEM
  ibrav = 0, nat = 4, ntyp = 3
/
ATOMIC_SPECIES
In 114.82 In.upf
Re 186.21 Re.upf
Au 196.97 Au.upf
CELL_PARAMETERS angstrom
1.4436 0.8334 9.3490
-1.4436 0.8334 9.3490
0.0000 -1.6669 9.3490
ATOMIC_POSITIONS angstrom
In 0.0000 0.0000 0.0000
Re 0.0000 0.0000 6.9723
Re 0.0000 0.0000 21.0747
Au 0.0000 0.0000 14.0235
```

Below is CrSiAsIr2 after structural relaxation, with properties calculated at the PBE level. Values from VASP.

Output
E_form (uncorrected)	5.2	eV per formula unit
SG	No. 123
total moment	0.000	μB per atom
DOS(E_F)	3.5	states/eV per cell
DFT total energy	-6.4452	eV per atom

Geometry as Quantum ESPRESSO input:
```
&SYSTEM
  ibrav = 0, nat = 5, ntyp = 4
/
ATOMIC_SPECIES
Cr 52.00 Cr.upf
Si 28.09 Si.upf
As 74.92 As.upf
Ir 192.22 Ir.upf
CELL_PARAMETERS angstrom
4.5398 0.0000 0.0000
0.0000 4.5398 0.0000
0.0000 0.0000 4.3677
ATOMIC_POSITIONS angstrom
Cr 0.0000 0.0000 0.0000
Si 0.0000 0.0000 2.1838
As 2.2699 2.2699 2.1838
Ir 0.0000 2.2699 0.0000
Ir 2.2699 0.0000 0.0000
```

Below is RbNdIn2Cl6 after structural relaxation, with properties calculated at the PBE level. Values from VASP.

Output
E_form (uncorrected)	-16.5	eV per formula unit
SG	No. 1
total moment	0.000	μB per atom
DOS(E_F)	0.0	states/eV per cell
DFT total energy	-3.8758	eV per atom

Geometry as Quantum ESPRESSO input:
```
&SYSTEM
  ibrav = 0, nat = 10, ntyp = 4
/
ATOMIC_SPECIES
Rb 85.47 Rb.upf
Nd 144.24 Nd.upf
In 114.82 In.upf
Cl 35.45 Cl.upf
CELL_PARAMETERS angstrom
7.9450 0.0000 0.0000
-3.9724 6.8959 0.0000
-3.9712 -2.2942 6.7834
ATOMIC_POSITIONS angstrom
Rb 0.0000 0.0000 0.0000
Nd -3.9699 2.3001 3.5986
In 0.0012 0.0015 4.2466
In 0.0013 4.5948 0.9498
Cl -3.0813 4.4910 2.2186
Cl -5.0226 4.1311 5.4232
Cl -1.8537 2.2991 5.4188
Cl 1.6293 1.9726 2.2252
Cl 5.4242 0.4291 2.2239
Cl 2.9193 0.4721 5.4254
```

Below is TcBrF3 after structural relaxation, with properties calculated at the PBE level. Values from VASP.

Output
E_form (uncorrected)	1.2	eV per formula unit
SG	No. 221
total moment	0.930	μB per atom
polymorph energy (0 for the lowest one)	1806	meV per atom
DOS(E_F)	4.5	states/eV per cell
DFT total energy	-3.2891	eV per atom

Geometry as Quantum ESPRESSO input:
```
&SYSTEM
  ibrav = 0, nat = 5, ntyp = 3
/
ATOMIC_SPECIES
Tc 98.00 Tc.upf
Br 79.90 Br.upf
F 19.00 F.upf
CELL_PARAMETERS angstrom
4.5760 0.0000 0.0000
0.0000 4.5760 0.0000
0.0000 0.0000 4.5760
ATOMIC_POSITIONS angstrom
Tc 0.0000 0.0000 0.0000
Br 2.2880 2.2880 2.2880
F 0.0000 2.2880 2.2880
F 2.2880 0.0000 2.2880
F 2.2880 2.2880 0.0000
```

Among the records above, which one has the lowest DFT total energy?
CeSm2PaRu2